VASP calculation (PBE) on a relaxed LaYP2O crystal.

Values from the calculation:
For the energy above the most stable polymorph in this dataset, the calculation gives 0.0 meV per atom. The final energy is -32.65 eV per formula unit. The crystal system is tetragonal.

abc: 5.258 5.258 4.287
angles: 90.00 90.00 90.00
Positions (direct):
La  0.000  0.000  0.000
Y  0.500  0.500  0.500
P  0.000  0.500  0.500
P  0.500  0.000  0.500
O  0.500  0.500  0.000



VASP calculation (PBE) on a relaxed LaYP2O crystal.

Values from the calculation:
For the energy above the most stable polymorph in this dataset, the calculation gives 390.9 meV per atom. The final energy is -30.69 eV per formula unit. The crystal system is tetragonal.

abc: 5.443 5.443 4.224
angles: 90.00 90.00 90.00
Positions (direct):
La  0.000  0.000  0.000
Y  0.500  0.500  0.500
P  0.000  0.500  0.000
P  0.500  0.000  0.000
O  0.000  0.000  0.500



VASP calculation (PBE) on a relaxed LaZnPO2 crystal.

Values from the calculation:
For the energy above the most stable polymorph in this dataset, the calculation gives 0.0 meV per atom. The final energy is -26.76 eV per formula unit. The crystal system is tetragonal.

abc: 4.174 4.174 4.467
angles: 90.00 90.00 90.00
Positions (direct):
La  0.000  0.000  0.000
Zn  0.500  0.500  0.500
P  0.500  0.500  0.000
O  0.000  0.500  0.500
O  0.500  0.000  0.500



VASP calculation (PBE) on a relaxed LaZnPO2 crystal.

Values from the calculation:
For the energy above the most stable polymorph in this dataset, the calculation gives 333.8 meV per atom. The final energy is -25.09 eV per formula unit. The crystal system is tetragonal.

abc: 4.213 4.213 6.572
angles: 90.00 90.00 90.00
Positions (direct):
La  0.000  0.000  0.000
Zn  0.500  0.500  0.500
P  0.000  0.000  0.500
O  0.000  0.500  0.000
O  0.500  0.000  0.000



VASP calculation (PBE) on a relaxed LaZnP2O crystal.

Values from the calculation:
For the energy above the most stable polymorph in this dataset, the calculation gives 626.0 meV per atom. The final energy is -21.35 eV per formula unit. The crystal system is tetragonal.

abc: 5.778 5.778 4.267
angles: 90.00 90.00 90.00
Positions (direct):
La  0.000  0.000  0.000
Zn  0.500  0.500  0.500
P  0.000  0.500  0.000
P  0.500  0.000  0.000
O  0.000  0.000  0.500



VASP calculation (PBE) on a relaxed LaZnP2O crystal.

Values from the calculation:
For the energy above the most stable polymorph in this dataset, the calculation gives 0.0 meV per atom. The final energy is -24.48 eV per formula unit. The crystal system is tetragonal.

abc: 4.662 4.662 4.198
angles: 90.00 90.00 90.00
Positions (direct):
La  0.000  0.000  0.000
Zn  0.500  0.500  0.500
P  0.000  0.500  0.500
P  0.500  0.000  0.500
O  0.500  0.500  0.000



no.,size of the total moment (μB/cell),formation energy from raw total energies (meV/atom)
1,0.7,-1095.8
2,0.0,-704.8
3,0.0,-1046.4
4,1.2,-712.6
5,1.7,125.8
6,0.4,-500.2